Entry 1:
The following is a DFT calculation (PBE) of PCI3 after structural relaxation.

Geometry as CIF:
```
data_PCI3
_space_group_name_H-M_alt 'P m -3 m'
_space_group_IT_number 221
_space_group_name_Hall '-P 4 2 3'
_cell_length_a 4.999
_cell_length_b 4.999
_cell_length_c 4.999
_cell_angle_alpha 90.00
_cell_angle_beta 90.00
_cell_angle_gamma 90.00
loop_
_atom_site_label
_atom_site_type_symbol
_atom_site_fract_x
_atom_site_fract_y
_atom_site_fract_z
_atom_site_occupancy
P1 P 0.000 0.000 0.000 1
C1 C 0.500 0.500 0.500 1
I1 I 0.000 0.500 0.500 1
```

The formation energy from raw total energies is 1.57 eV per atom.

Entry 2:
The following is a DFT calculation (PBE) of PC3I after structural relaxation.

Geometry as CIF:
```
data_PC3I
_space_group_name_H-M_alt 'P m -3 m'
_space_group_IT_number 221
_space_group_name_Hall '-P 4 2 3'
_cell_length_a 4.131
_cell_length_b 4.131
_cell_length_c 4.131
_cell_angle_alpha 90.00
_cell_angle_beta 90.00
_cell_angle_gamma 90.00
loop_
_atom_site_label
_atom_site_type_symbol
_atom_site_fract_x
_atom_site_fract_y
_atom_site_fract_z
_atom_site_occupancy
P1 P 0.000 0.000 0.000 1
C1 C 0.000 0.500 0.500 1
I1 I 0.500 0.500 0.500 1
```

The formation energy from raw total energies is 3.67 eV per atom.

Entry 3:
The following is a DFT calculation (PBE) of P3CI after structural relaxation.

Geometry as CIF:
```
data_P3CI
_space_group_name_H-M_alt 'P m -3 m'
_space_group_IT_number 221
_space_group_name_Hall '-P 4 2 3'
_cell_length_a 4.294
_cell_length_b 4.294
_cell_length_c 4.294
_cell_angle_alpha 90.00
_cell_angle_beta 90.00
_cell_angle_gamma 90.00
loop_
_atom_site_label
_atom_site_type_symbol
_atom_site_fract_x
_atom_site_fract_y
_atom_site_fract_z
_atom_site_occupancy
P1 P 0.000 0.000 0.500 1
C1 C 0.000 0.000 0.000 1
I1 I 0.500 0.500 0.500 1
```

The formation energy from raw total energies is 1.43 eV per atom.

no.,distance to the lowest polymorph of the same formula (kJ/mol of formula units)
1,0
2,627
3,0